The following is a DFT calculation (PBE-GGA) of NdBiNO after structural relaxation.

a = 3.949 Å, b = 6.641 Å, c = 6.556 Å
α = 90.00°, β = 90.00°, γ = 90.00°
Fractional positions:
Nd (0.000, 0.199, 0.000)
Nd (0.000, 0.801, 0.500)
Bi (0.500, 0.322, 0.565)
Bi (0.500, 0.678, 0.065)
N (0.500, 0.383, 0.913)
N (0.500, 0.617, 0.413)
O (0.000, 0.074, 0.311)
O (0.000, 0.926, 0.811)

Values from the calculation:
Its crystal system is orthorhombic. The value obtained for the size of the total moment is 0.00 μB/f.u. The calculated volume comes out at 86 Å³/f.u. Its relative energy among the computed polymorphs is 0 meV/atom. The space group is Pmc2_1.